This record from Alexandria describes Sr3SbH after structural relaxation. The functional is PBE-GGA.

Summary:
- DOS(E_F): 6.587 states/eV per cell
- Spin magnetization: 0.00 μB per atom
- SG: Pm-3m (221)
- Offset from the most stable computed form: 47 meV/atom

Unit cell a=5.268 b=5.268 c=5.268 alpha=90.00 beta=90.00 gamma=90.00
Sites, in units of the cell vectors:
1 Sb 0.500 0.500 0.500
2 H 0.000 0.000 0.000
3 Sr 0.000 0.500 0.000
4 Sr 0.000 0.000 0.500
5 Sr 0.500 0.000 0.000